[1]
DFT (GGA-PBE) results for crystalline VGaAs3 at its relaxed geometry.

a b c (Å): 4.776 4.776 4.776
angles (deg): 90.00 90.00 90.00
Sites, in units of the cell vectors:
V 0.000 0.000 0.000
Ga 0.500 0.500 0.500
As 0.000 0.000 0.500
As 0.000 0.500 0.000
As 0.500 0.000 0.000

Calculated values
Offset from the most stable computed form: 0.000 eV/atom
Electronic total energy: -5.04 eV per atom
Energy of formation: 0.182 eV per atom
Space-group type: Pm-3m, No. 221

***

[2]
DFT (GGA-PBE) results for crystalline VGa2As at its relaxed geometry.

a b c (Å): 5.894 5.894 5.894
angles (deg): 101.50 101.50 126.95
Sites, in units of the cell vectors:
V 0.000 0.000 0.000
V 0.750 0.250 0.500
Ga 0.140 0.625 0.015
Ga 0.375 0.390 0.515
Ga 0.610 0.125 0.985
Ga 0.875 0.860 0.485
As 0.250 0.750 0.500
As 0.500 0.500 0.000

Calculated values
Electronic total energy: -4.75 eV per atom
Energy of formation: 0.204 eV per atom
Space-group type: I-42d, No. 122